(1)
Here is crystalline LaDyTmCo at its relaxed geometry from Alexandria. Energies are from PBE.

The calculation puts the total magnetic moment at 0.00 μB per formula unit. As for the formation energy: -0.061 eV per formula unit. As for the space group: Amm2 (38). The value obtained for the volume is 27.11 Å³/atom. As for the total DFT energy (no corrections): -5.29 eV per atom.

a = 3.490 Å, b = 4.694 Å, c = 7.842 Å
α = 107.44°, β = 116.42°, γ = 89.99°
Element x y z (fractional)
La 0.749 0.314 0.190
Dy 0.563 0.971 0.504
Co 0.381 0.130 0.822
Tm 0.919 0.649 0.860

---

(2)
Here is crystalline KScPd2 at its relaxed geometry from Alexandria. Energies are from PBE.

The calculation puts the total magnetic moment at 0.00 μB per formula unit. As for the formation energy: -0.361 eV per formula unit. As for the space group: Fm-3m (225). The value obtained for the volume is 20.81 Å³/atom. As for the total DFT energy (no corrections): -4.54 eV per atom.

a = 4.901 Å, b = 4.901 Å, c = 4.901 Å
α = 60.00°, β = 60.00°, γ = 60.00°
Element x y z (fractional)
Pd 0.250 0.250 0.250
Pd 0.750 0.750 0.750
K 0.000 0.000 0.000
Sc 0.500 0.500 0.500

---

(3)
Here is crystalline Ac4AsPBr2 at its relaxed geometry from Alexandria. Energies are from PBE.

The calculation puts the total magnetic moment at 0.00 μB per formula unit. As for the space group: P2/m (10). The calculation puts the formation energy (no corrections) at -139 kJ per mole of atoms. The value obtained for the volume is 32.78 Å³/atom. As for the total DFT energy (no corrections): -5.17 eV per atom.

a = 4.477 Å, b = 7.818 Å, c = 7.924 Å
α = 109.00°, β = 90.00°, γ = 90.00°
Element x y z (fractional)
Ac 0.500 0.771 0.788
Ac 0.000 0.252 0.785
Ac 0.500 0.229 0.212
Br 0.000 0.500 0.500
Br 0.500 0.000 0.500
Ac 0.000 0.748 0.215
P 0.000 0.000 0.000
As 0.500 0.500 0.000

---

(4)
Here is crystalline BeP2Pt at its relaxed geometry from Alexandria. Energies are from PBE.

The calculation puts the total magnetic moment at 0.00 μB per formula unit. As for the formation energy: 1.545 eV per formula unit. As for the space group: F-43m (216). The value obtained for the volume is 13.69 Å³/atom. As for the total DFT energy (no corrections): -4.76 eV per atom.

a = 4.262 Å, b = 4.262 Å, c = 4.262 Å
α = 60.00°, β = 60.00°, γ = 60.00°
Element x y z (fractional)
Pt 0.750 0.750 0.750
Be 0.500 0.500 0.500
P 0.000 0.000 0.000
P 0.250 0.250 0.250

---

(5)
Here is crystalline Ba2InSnBi at its relaxed geometry from Alexandria. Energies are from PBE.

The calculation puts the total magnetic moment at 0.00 μB per formula unit. As for the formation energy: -0.956 eV per formula unit. As for the space group: P4/mmm (123). The value obtained for the volume is 47.79 Å³/atom. As for the total DFT energy (no corrections): -3.08 eV per atom.

a = 6.600 Å, b = 5.487 Å, c = 6.600 Å
α = 90.00°, β = 90.00°, γ = 90.00°
Element x y z (fractional)
In 0.000 0.500 0.000
Ba 0.000 0.000 0.500
Bi 0.500 0.500 0.500
Ba 0.500 0.000 0.000
Sn 0.000 0.000 0.000

---

(6)
Here is crystalline PmLu2O at its relaxed geometry from Alexandria. Energies are from PBE.

The calculation puts the total magnetic moment at 0.00 μB per formula unit. As for the space group: P4/mmm (123). The calculation puts the formation energy (no corrections) at -76 kJ per mole of atoms. The value obtained for the volume is 21.52 Å³/atom. As for the total DFT energy (no corrections): -5.47 eV per atom.

a = 3.169 Å, b = 3.169 Å, c = 8.569 Å
α = 90.00°, β = 90.00°, γ = 90.00°
Element x y z (fractional)
Lu 0.000 0.000 0.179
O 0.500 0.500 0.000
Pm 0.500 0.500 0.500
Lu 0.000 0.000 0.821

---

(7)
Here is crystalline TeRhW at its relaxed geometry from Alexandria. Energies are from PBE.

The calculation puts the total magnetic moment at 0.00 μB per formula unit. As for the space group: P3m1 (156). The calculation puts the formation energy (no corrections) at 39 kJ per mole of atoms. The value obtained for the volume is 17.96 Å³/atom. As for the total DFT energy (no corrections): -7.41 eV per atom.

a = 3.105 Å, b = 3.105 Å, c = 6.452 Å
α = 90.00°, β = 90.00°, γ = 120.00°
Element x y z (fractional)
W 0.333 0.667 0.676
Rh 0.000 0.000 0.985
Te 0.667 0.333 0.339

---

(8)
Here is crystalline Th4TlRh at its relaxed geometry from Alexandria. Energies are from PBE.

The calculation puts the total magnetic moment at 0.00 μB per formula unit. As for the formation energy: -0.656 eV per formula unit. As for the space group: I-4 (82). The value obtained for the volume is 29.67 Å³/atom. As for the total DFT energy (no corrections): -6.68 eV per atom.

a = 6.958 Å, b = 6.958 Å, c = 6.143 Å
α = 124.50°, β = 124.50°, γ = 90.00°
Element x y z (fractional)
Rh 0.500 0.500 0.000
Tl 0.750 0.250 0.500
Th 0.936 0.392 0.222
Th 0.285 0.829 0.222
Th 0.171 0.064 0.778
Th 0.608 0.715 0.778

---

(9)
Here is crystalline CuIr at its relaxed geometry from Alexandria. Energies are from PBE.

The calculation puts the total magnetic moment at 0.00 μB per formula unit. As for the formation energy: 0.527 eV per formula unit. As for the space group: Cmmm (65). The value obtained for the volume is 13.28 Å³/atom. As for the total DFT energy (no corrections): -6.22 eV per atom.

a = 5.751 Å, b = 6.523 Å, c = 2.833 Å
α = 90.00°, β = 90.00°, γ = 90.00°
Element x y z (fractional)
Cu 0.790 0.000 0.000
Cu 0.710 0.500 0.000
Ir 0.500 0.211 0.500
Cu 0.290 0.500 0.000
Ir 0.500 0.789 0.500
Cu 0.210 0.000 0.000
Ir 0.000 0.711 0.500
Ir 0.000 0.289 0.500

---

(10)
Here is crystalline SrZnMo2 at its relaxed geometry from Alexandria. Energies are from PBE.

The calculation puts the total magnetic moment at 0.00 μB per formula unit. As for the formation energy: 3.485 eV per formula unit. As for the space group: Pmmm (47). The value obtained for the volume is 19.47 Å³/atom. As for the total DFT energy (no corrections): -5.28 eV per atom.

a = 3.142 Å, b = 4.770 Å, c = 5.196 Å
α = 90.00°, β = 90.00°, γ = 90.00°
Element x y z (fractional)
Mo 0.000 0.000 0.000
Sr 0.500 0.000 0.500
Zn 0.000 0.500 0.500
Mo 0.500 0.500 0.000

---

(11)
Here is crystalline ZnCrNi2 at its relaxed geometry from Alexandria. Energies are from PBE.

The calculation puts the total magnetic moment at 3.52 μB per formula unit. As for the formation energy: 1.683 eV per formula unit. As for the space group: I-42d (122). The value obtained for the volume is 13.37 Å³/atom. As for the total DFT energy (no corrections): -5.19 eV per atom.

a = 6.480 Å, b = 6.480 Å, c = 5.243 Å
α = 51.83°, β = 51.83°, γ = 90.00°
Element x y z (fractional)
Ni 0.375 0.380 0.750
Ni 0.130 0.625 0.250
Cr 0.250 0.750 0.500
Zn 0.750 0.250 0.500
Ni 0.875 0.870 0.750
Zn 0.000 0.000 0.000
Ni 0.620 0.125 0.250
Cr 0.500 0.500 0.000

---

(12)
Here is crystalline Li3Cd6In2 at its relaxed geometry from Alexandria. Energies are from PBE.

The calculation puts the total magnetic moment at 0.00 μB per formula unit. As for the formation energy: -0.441 eV per formula unit. As for the space group: I4/mmm (139). The value obtained for the volume is 22.81 Å³/atom. As for the total DFT energy (no corrections): -1.56 eV per atom.

a = 4.326 Å, b = 4.326 Å, c = 13.747 Å
α = 99.05°, β = 99.05°, γ = 90.00°
Element x y z (fractional)
Cd 0.770 0.770 0.539
Cd 0.230 0.230 0.461
Cd 0.561 0.061 0.122
Li 0.870 0.870 0.740
Li 0.000 0.000 0.000
Cd 0.061 0.561 0.122
In 0.657 0.657 0.313
In 0.343 0.343 0.687
Cd 0.439 0.939 0.878
Cd 0.939 0.439 0.878
Li 0.130 0.130 0.260